Entry P
# HfSbTe2Os

An optimized crystal structure of HfSbTe2Os (PBE-GGA, the Alexandria database).

Cell: 5.3216 5.3216 4.9210 Å, 90.00 90.00 90.00°
Atoms (fractional coordinates):
Hf (0.5000, 0.5000, 0.5000)
Te (0.0000, 0.5000, 0.0000)
Te (0.5000, 0.0000, 0.0000)
Os (0.0000, 0.0000, 0.0000)
Sb (0.0000, 0.0000, 0.5000)

Results
- Space-group type: P4/mmm, No. 123

***

Entry Q
# HfSbTe2Os

An optimized crystal structure of HfSbTe2Os (PBE-GGA, the Alexandria database).

Cell: 5.4354 5.4354 5.5971 Å, 90.00 90.00 90.00°
Site moments in Bohr magnetons follow the coordinates.
Atoms (fractional coordinates):
Hf (0.0000, 0.0000, 0.0000)  0.13
Te (0.0000, 0.5000, 0.0000)  0.02
Te (0.5000, 0.0000, 0.0000)  0.02
Os (0.5000, 0.5000, 0.5000)  3.17
Sb (0.0000, 0.0000, 0.5000)  -0.06

Results
- Space-group type: P4/mmm, No. 123

***

Of them, the most stable is entry P and the least stable is entry Q.

***

Entry P
# Hf2ScOs2

An optimized crystal structure of Hf2ScOs2 (PBE-GGA, the Alexandria database).

Cell: 7.6716 7.6716 3.2417 Å, 90.00 90.00 90.00°
Atoms (fractional coordinates):
Sc (0.0000, 0.0000, 0.0000)
Sc (0.5000, 0.5000, 0.0000)
Hf (0.1499, 0.6499, 0.5000)
Hf (0.6499, 0.8501, 0.5000)
Hf (0.8501, 0.3501, 0.5000)
Hf (0.3501, 0.1499, 0.5000)
Os (0.3543, 0.8543, 0.0000)
Os (0.8543, 0.6457, 0.0000)
Os (0.6457, 0.1457, 0.0000)
Os (0.1457, 0.3543, 0.0000)

Results
- Space-group type: P4/mbm, No. 127

***

Entry Q
# Hf2ScOs2

An optimized crystal structure of Hf2ScOs2 (PBE-GGA, the Alexandria database).

Cell: 3.2675 4.6956 11.9308 Å, 90.00 97.86 90.00°
Atoms (fractional coordinates):
Hf (0.0481, 0.7500, 0.0966)
Hf (0.9519, 0.2500, 0.9034)
Hf (0.2338, 0.7500, 0.4683)
Hf (0.7662, 0.2500, 0.5317)
Sc (0.8566, 0.7500, 0.7132)
Sc (0.1434, 0.2500, 0.2868)
Os (0.6446, 0.7500, 0.2895)
Os (0.3554, 0.2500, 0.7105)
Os (0.4531, 0.7500, 0.9059)
Os (0.5469, 0.2500, 0.0941)

Results
- Space-group type: Cmcm, No. 63

***

Entry R
# Hf2ScOs2

An optimized crystal structure of Hf2ScOs2 (PBE-GGA, the Alexandria database).

Cell: 4.1333 4.1333 6.9187 Å, 72.62 72.62 90.00°
Site moments in Bohr magnetons follow the coordinates.
Atoms (fractional coordinates):
Sc (0.0000, 0.0000, 0.0000)  0.11
Hf (0.3771, 0.3771, 0.2459)  0.03
Hf (0.6229, 0.6229, 0.7541)  0.03
Os (0.7500, 0.2500, 0.5000)  0.03
Os (0.2500, 0.7500, 0.5000)  0.03

Results
- Space-group type: I4/mmm, No. 139

***

Of them, the most stable is entry Q and the least stable is entry R.

***

Entry P
# HfSc2SnOs

An optimized crystal structure of HfSc2SnOs (PBE-GGA, the Alexandria database).

Cell: 5.0735 5.2119 5.0735 Å, 90.00 90.00 90.00°
Atoms (fractional coordinates):
Sc (0.0000, 0.0000, 0.5000)
Sc (0.5000, 0.0000, 0.0000)
Hf (0.0000, 0.5000, 0.0000)
Os (0.5000, 0.5000, 0.5000)
Sn (0.0000, 0.0000, 0.0000)

Results
- Space-group type: P4/mmm, No. 123

***

Entry Q
# HfSc2SnOs

An optimized crystal structure of HfSc2SnOs (PBE-GGA, the Alexandria database).

Cell: 4.9720 5.2735 4.9720 Å, 90.00 90.00 90.00°
Site moments in Bohr magnetons follow the coordinates.
Atoms (fractional coordinates):
Sc (0.0000, 0.0000, 0.5000)  -0.03
Sc (0.5000, 0.0000, 0.0000)  -0.06
Hf (0.0000, 0.0000, 0.0000)  0.06
Os (0.5000, 0.5000, 0.5000)  1.92
Sn (0.0000, 0.5000, 0.0000)  -0.01

Results
- Space-group type: P4/mmm, No. 123

***

Of them, the most stable is entry P and the least stable is entry Q.

***

Entry P
# HfOs3Se

An optimized crystal structure of HfOs3Se (PBE-GGA, the Alexandria database).

Cell: 4.5271 4.5271 4.5271 Å, 90.00 90.00 90.00°
Atoms (fractional coordinates):
Hf (0.5000, 0.5000, 0.5000)
Os (0.0000, 0.5000, 0.0000)
Os (0.0000, 0.0000, 0.5000)
Os (0.5000, 0.0000, 0.0000)
Se (0.0000, 0.0000, 0.0000)

Results
- Space-group type: Pm-3m, No. 221

***

Entry Q
# HfOs3Se

An optimized crystal structure of HfOs3Se (PBE-GGA, the Alexandria database).

Cell: 4.8209 4.8209 4.8209 Å, 90.00 90.00 90.00°
Atoms (fractional coordinates):
Hf (0.0000, 0.0000, 0.0000)
Os (0.0000, 0.5000, 0.0000)
Os (0.0000, 0.0000, 0.5000)
Os (0.5000, 0.0000, 0.0000)
Se (0.5000, 0.5000, 0.5000)

Results
- Space-group type: Pm-3m, No. 221

***

Of them, the most stable is entry P and the least stable is entry Q.

***

Entry P
# HfSiOs3

An optimized crystal structure of HfSiOs3 (PBE-GGA, the Alexandria database).

Cell: 4.3826 4.3826 4.3826 Å, 90.00 90.00 90.00°
Atoms (fractional coordinates):
Hf (0.5000, 0.5000, 0.5000)
Si (0.0000, 0.0000, 0.0000)
Os (0.0000, 0.5000, 0.0000)
Os (0.0000, 0.0000, 0.5000)
Os (0.5000, 0.0000, 0.0000)

Results
- Space-group type: Pm-3m, No. 221

***

Entry Q
# HfSiOs3

An optimized crystal structure of HfSiOs3 (PBE-GGA, the Alexandria database).

Cell: 4.8029 4.8029 4.8029 Å, 90.00 90.00 90.00°
Site moments in Bohr magnetons follow the coordinates.
Atoms (fractional coordinates):
Hf (0.0000, 0.0000, 0.0000)  -0.04
Si (0.5000, 0.5000, 0.5000)  -0.02
Os (0.0000, 0.5000, 0.0000)  0.31
Os (0.0000, 0.0000, 0.5000)  0.24
Os (0.5000, 0.0000, 0.0000)  0.31

Results
- Space-group type: Pm-3m, No. 221

***

Of them, the most stable is entry P and the least stable is entry Q.

***

Entry P
# HfSn2Os

An optimized crystal structure of HfSn2Os (PBE-GGA, the Alexandria database).

Cell: 4.7969 4.7969 4.7969 Å, 60.00 60.00 60.00°
Site moments in Bohr magnetons follow the coordinates.
Atoms (fractional coordinates):
Hf (0.0000, 0.0000, 0.0000)  0.12
Os (0.5000, 0.5000, 0.5000)  0.06
Sn (0.2500, 0.2500, 0.2500)  0.01
Sn (0.7500, 0.7500, 0.7500)  0.01

Results
- Space-group type: Fm-3m, No. 225

***

Entry Q
# HfSn2Os

An optimized crystal structure of HfSn2Os (PBE-GGA, the Alexandria database).

Cell: 4.1174 4.1174 10.5639 Å, 78.76 78.76 90.00°
Atoms (fractional coordinates):
Hf (0.5000, 0.5000, 0.0000)
Hf (0.2500, 0.7500, 0.5000)
Os (0.0000, 0.0000, 0.0000)
Os (0.7500, 0.2500, 0.5000)
Sn (0.6331, 0.1250, 0.2500)
Sn (0.1169, 0.6250, 0.2500)
Sn (0.3750, 0.3669, 0.7500)
Sn (0.8750, 0.8831, 0.7500)

Results
- Space-group type: I-42d, No. 122

***

Of them, the most stable is entry P and the least stable is entry Q.

***

Entry P
# HfSn2Os2

An optimized crystal structure of HfSn2Os2 (PBE-GGA, the Alexandria database).

Cell: 3.9788 3.9788 6.9315 Å, 73.32 73.32 90.00°
Atoms (fractional coordinates):
Hf (0.0000, 0.0000, 0.0000)
Os (0.4036, 0.4036, 0.1927)
Os (0.5964, 0.5964, 0.8073)
Sn (0.7500, 0.2500, 0.5000)
Sn (0.2500, 0.7500, 0.5000)

Results
- Space-group type: I4/mmm, No. 139

***

Entry Q
# HfSn2Os2

An optimized crystal structure of HfSn2Os2 (PBE-GGA, the Alexandria database).

Cell: 7.6009 7.6009 3.2286 Å, 90.00 90.00 90.00°
Atoms (fractional coordinates):
Hf (0.0000, 0.0000, 0.0000)
Hf (0.5000, 0.5000, 0.0000)
Os (0.3633, 0.8633, 0.0000)
Os (0.8633, 0.6367, 0.0000)
Os (0.6367, 0.1367, 0.0000)
Os (0.1367, 0.3633, 0.0000)
Sn (0.1610, 0.6610, 0.5000)
Sn (0.6610, 0.8390, 0.5000)
Sn (0.8390, 0.3390, 0.5000)
Sn (0.3390, 0.1610, 0.5000)

Results
- Space-group type: P4/mbm, No. 127

***

Of them, the most stable is entry Q and the least stable is entry P.

***

Entry P
# SrHf2Os2

An optimized crystal structure of SrHf2Os2 (PBE-GGA, the Alexandria database).

Cell: 8.0767 8.0767 3.1777 Å, 90.00 90.00 90.00°
Atoms (fractional coordinates):
Hf (0.1396, 0.6396, 0.5000)
Hf (0.6396, 0.8604, 0.5000)
Hf (0.8604, 0.3604, 0.5000)
Hf (0.3604, 0.1396, 0.5000)
Os (0.3551, 0.8551, 0.0000)
Os (0.8551, 0.6449, 0.0000)
Os (0.6449, 0.1449, 0.0000)
Os (0.1449, 0.3551, 0.0000)
Sr (0.0000, 0.0000, 0.0000)
Sr (0.5000, 0.5000, 0.0000)

Results
- Space-group type: P4/mbm, No. 127

***

Entry Q
# SrHf2Os2

An optimized crystal structure of SrHf2Os2 (PBE-GGA, the Alexandria database).

Cell: 4.4564 4.4564 6.5301 Å, 70.05 70.05 90.00°
Atoms (fractional coordinates):
Hf (0.7500, 0.2500, 0.5000)
Hf (0.2500, 0.7500, 0.5000)
Os (0.3868, 0.3868, 0.2264)
Os (0.6132, 0.6132, 0.7736)
Sr (0.0000, 0.0000, 0.0000)

Results
- Space-group type: I4/mmm, No. 139

***

Of them, the most stable is entry Q and the least stable is entry P.